First-principles (PBE-GGA) data for Sr2AcN after structural relaxation, as listed in Alexandria via LeMat-Bulk.

Cell: 4.179 4.191 13.590 Å, 51.95 62.42 59.89°
Atoms (fractional coordinates):
Sr1 0.103 0.174 0.543
Sr2 0.542 0.270 0.886
Ac1 0.672 0.104 0.187
N1 0.382 0.877 0.122

Values from the calculation:
As for the space-group type: No. 1. For the polymorph energy (0 for the lowest one), the calculation gives 0.000 eV/atom.

First-principles (PBE-GGA) data for SrAcN after structural relaxation, as listed in Alexandria via LeMat-Bulk.

Cell: 4.671 4.671 4.671 Å, 60.00 60.00 60.00°
Atoms (fractional coordinates):
N1 0.250 0.250 0.250
Sr1 0.500 0.500 0.500
Ac1 0.000 0.000 0.000

Values from the calculation:
As for the space-group type: No. 216. For the polymorph energy (0 for the lowest one), the calculation gives 0.613 eV/atom.

First-principles (PBE-GGA) data for SrAcN after structural relaxation, as listed in Alexandria via LeMat-Bulk.

Cell: 5.700 5.700 5.784 Å, 119.52 119.52 90.00°
Atoms (fractional coordinates):
Ac1 0.358 0.358 0.716
Sr1 0.881 0.881 0.762
N1 0.611 0.611 0.222

Values from the calculation:
As for the space-group type: No. 107. For the polymorph energy (0 for the lowest one), the calculation gives 0.961 eV/atom.

First-principles (PBE-GGA) data for SrAc5N6 after structural relaxation, as listed in Alexandria via LeMat-Bulk.

Cell: 6.718 6.718 6.723 Å, 99.67 99.67 119.91°
Atoms (fractional coordinates):
Ac1 0.333 0.667 0.000
Ac2 0.500 0.500 0.500
Ac3 0.834 0.166 0.500
Ac4 0.667 0.333 0.000
Ac5 0.166 0.834 0.500
N1 0.432 0.085 0.256
N2 0.262 0.262 0.745
N3 0.738 0.738 0.255
N4 0.568 0.915 0.744
N5 0.085 0.432 0.256
N6 0.915 0.568 0.744
Sr1 0.000 0.000 0.000

Values from the calculation:
As for the space-group type: No. 12.

First-principles (PBE-GGA) data for SrAc2TaN4 after structural relaxation, as listed in Alexandria via LeMat-Bulk.

Cell: 3.655 6.692 13.388 Å, 90.00 90.00 105.85°
Atoms (fractional coordinates):
N1 0.729 0.459 0.639
N2 0.599 0.198 0.250
N3 0.271 0.541 0.361
N4 0.271 0.541 0.139
N5 0.729 0.459 0.861
N6 0.401 0.802 0.750
N7 0.000 0.000 0.500
N8 0.000 0.000 0.000
Ac1 0.633 0.266 0.034
Ac2 0.633 0.266 0.466
Ac3 0.367 0.734 0.534
Ac4 0.367 0.734 0.966
Ta1 0.824 0.647 0.750
Ta2 0.176 0.353 0.250
Sr1 0.899 0.797 0.250
Sr2 0.101 0.203 0.750

Values from the calculation:
As for the space-group type: No. 63.

First-principles (PBE-GGA) data for SrAcTcN4 after structural relaxation, as listed in Alexandria via LeMat-Bulk.

Cell: 6.155 5.847 7.432 Å, 90.00 105.18 90.00°
Atoms (fractional coordinates):
Tc1 0.235 0.750 0.292
Tc2 0.765 0.250 0.708
N1 0.609 0.250 0.464
N2 0.952 0.002 0.749
N3 0.442 0.750 0.156
N4 0.048 0.502 0.251
N5 0.048 0.998 0.251
N6 0.558 0.250 0.844
N7 0.952 0.498 0.749
N8 0.391 0.750 0.536
Ac1 0.779 0.750 0.459
Ac2 0.221 0.250 0.541
Sr1 0.731 0.750 0.945
Sr2 0.269 0.250 0.055

Values from the calculation:
As for the space-group type: No. 11.

First-principles (PBE-GGA) data for SrAcTcN3 after structural relaxation, as listed in Alexandria via LeMat-Bulk.

Cell: 3.666 8.252 7.913 Å, 96.43 90.00 90.00°
Atoms (fractional coordinates):
Sr1 0.750 0.827 0.835
Sr2 0.250 0.173 0.165
N1 0.250 0.104 0.835
N2 0.750 0.896 0.165
N3 0.750 0.153 0.524
N4 0.250 0.847 0.476
N5 0.250 0.602 0.875
N6 0.750 0.398 0.125
Ac1 0.750 0.391 0.813
Ac2 0.250 0.609 0.187
Tc1 0.250 0.069 0.605
Tc2 0.750 0.931 0.395

Values from the calculation:
As for the space-group type: No. 11.

First-principles (PBE-GGA) data for SrAcTc2N4 after structural relaxation, as listed in Alexandria via LeMat-Bulk.

Cell: 5.650 5.463 5.463 Å, 62.27 58.86 58.86°
Atoms (fractional coordinates):
N1 0.500 0.500 0.000
N2 0.000 0.500 0.000
N3 0.000 0.000 0.500
N4 0.500 0.000 0.500
Tc1 0.750 0.750 0.750
Tc2 0.250 0.250 0.250
Sr1 0.500 0.500 0.500
Ac1 0.000 0.000 0.000

Values from the calculation:
As for the space-group type: No. 139.

We obtain V values of 157.96; 72.05; 134.81; 247.78; 315.06; 258.14; 237.88; 118.95 Å³/cell for the records listed above, in that order.
We obtain energy relative to the elements, uncorrected values of -0.486; -0.031; 0.317; -0.958; -0.992; -0.719; -0.584; -0.618 eV/atom for the records listed above, in that order.